Entry 1:
This record from Alexandria describes a geometry-optimized K2VRe structure. The functional is PBE-GGA.

Cell: 12.730 12.730 9.281 Å, 46.70 46.70 90.00°
Fractional coordinates of all 8 atoms:
Re: 0.000 0.000 0.000
Re: 0.750 0.250 0.500
K: 0.458 0.125 0.250
K: 0.292 0.625 0.250
K: 0.375 0.542 0.750
K: 0.875 0.708 0.750
V: 0.500 0.500 0.000
V: 0.250 0.750 0.500

## Properties
Energy of formation, kcal/mol of atoms: 35.61
Energy above the lowest structure with this stoichiometry, meV per atom: 0.0
Electronic total energy, eV/atom: -4.3962
Fermi-level density of states, states/eV per cell: 7.10

Entry 2:
This record from Alexandria describes a geometry-optimized K2VRe structure. The functional is PBE-GGA.

Cell: 5.580 5.580 5.580 Å, 60.00 60.00 60.00°
Fractional coordinates of all 4 atoms:
Re: 0.500 0.500 0.500
K: 0.250 0.250 0.250
K: 0.750 0.750 0.750
V: 0.000 0.000 0.000

## Properties
Energy of formation, kcal/mol of atoms: 53.49
Energy above the lowest structure with this stoichiometry, meV per atom: 775.4
Electronic total energy, eV/atom: -3.6208
Fermi-level density of states, states/eV per cell: 9.84

Entry 3:
This record from Alexandria describes a geometry-optimized KV3Re structure. The functional is PBE-GGA.

Cell: 4.231 4.231 4.231 Å, 90.00 90.00 90.00°
Fractional coordinates of all 5 atoms:
Re: 0.500 0.500 0.500
K: 0.000 0.000 0.000
V: 0.000 0.500 0.000
V: 0.000 0.000 0.500
V: 0.500 0.000 0.000

## Properties
Energy of formation, kcal/mol of atoms: 58.69
Energy above the lowest structure with this stoichiometry, meV per atom: 1316.5
Electronic total energy, eV/atom: -5.6351
Fermi-level density of states, states/eV per cell: 7.00

Entry 4:
This record from Alexandria describes a geometry-optimized KVRe3 structure. The functional is PBE-GGA.

Cell: 4.663 4.663 4.663 Å, 90.00 90.00 90.00°
Fractional coordinates of all 5 atoms:
Re: 0.000 0.500 0.000
Re: 0.000 0.000 0.500
Re: 0.500 0.000 0.000
K: 0.500 0.500 0.500
V: 0.000 0.000 0.000

## Properties
Energy of formation, kcal/mol of atoms: 44.36
Energy above the lowest structure with this stoichiometry, meV per atom: 0.0
Electronic total energy, eV/atom: -7.5886
Fermi-level density of states, states/eV per cell: 6.64